Density functional theory data (PBE-GGA) for crystalline KAcAuSe2 at its relaxed geometry.

Calculated values
V   344.07 Å³ per cell
Symmetry   P2/c
Size of the total moment   0.0 μB/f.u.
Fermi-level density of states   2.12 states/eV/f.u.
Energy relative to the elements, uncorrected   -1.11 eV per atom

a b c (Å): 5.0744 7.8443 8.7592
angles (deg): 99.31 90.00 90.00
Atoms (fractional coordinates):
K 0.1378 0.5000 0.7500
K 0.8622 0.5000 0.2500
Ac 0.4885 0.0000 0.2500
Ac 0.5115 0.0000 0.7500
Au 0.0000 0.0000 0.0000
Au 0.0000 0.0000 0.5000
Se 0.6721 0.7393 0.9666
Se 0.6721 0.2607 0.5334
Se 0.3279 0.7393 0.4666
Se 0.3279 0.2607 0.0334